# HoAlV

Crystalline HoAlV at its relaxed geometry (PBE-GGA, Alexandria via LeMat-Bulk).

Cell and atoms, written as CIF:
```
data_HoAlV
_chemical_formula_sum 'Ho3 Al3 V3'
_cell_length_a 6.826
_cell_length_b 6.826
_cell_length_c 4.567
_cell_angle_alpha 90.00
_cell_angle_beta 90.00
_cell_angle_gamma 120.00
_space_group_name_H-M_alt 'P 1'
_space_group_IT_number 1
_space_group_name_Hall 'P 1'
loop_
_atom_site_label
_atom_site_type_symbol
_atom_site_fract_x
_atom_site_fract_y
_atom_site_fract_z
Ho1 Ho 0.000 0.432 0.000
Ho2 Ho 0.432 0.000 0.000
Ho3 Ho 0.568 0.568 0.000
Al1 Al 0.000 0.000 0.000
Al2 Al 0.333 0.667 0.500
Al3 Al 0.667 0.333 0.500
V1 V 0.000 0.798 0.500
V2 V 0.202 0.202 0.500
V3 V 0.798 0.000 0.500
```

## Properties
SG = P-62m
N(E_F) = 0.961 states/eV per atom
Calculated volume = 20.479 Å³ per atom
E_form = -0.069 eV/atom